1.
8
Lattice="6.3061 0.0000 0.0000 -3.1531 5.4613 0.0000 0.0000 0.0000 4.4463" Properties=species:S:1:pos:R:3 comment="Sc3Co, optimized geometry, DFT PBE" e_tot_ev_per_atom=-6.532 formation_enthalpy_0k_ev_per_atom=-0.009 total_magnetization_mub_per_fu=0.008 pbc="T T T"
Co 3.1531 1.8204 1.1116
Co 0.0000 3.6408 3.3347
Sc 0.0000 1.9580 1.1116
Sc 1.4574 4.4823 1.1116
Sc -1.4574 4.4823 1.1116
Sc 4.6104 0.9790 3.3347
Sc 1.6957 0.9790 3.3347
Sc 3.1531 3.5033 3.3347

---

2.
24
Lattice="13.8280 0.0000 0.0000 0.0000 4.1360 0.0000 0.0000 0.0000 11.2088" Properties=species:S:1:pos:R:3 comment="NaTmCdSe3, optimized geometry, DFT PBE" de_polymorph_ev_per_fu=0.080 e_tot_ev_per_atom=-4.091 total_magnetization_mub_per_fu=0.005 pbc="T T T"
Cd 13.6222 1.0340 1.1208
Cd 6.7082 1.0340 4.4836
Cd 7.1198 3.1020 6.7252
Cd 0.2058 3.1020 10.0880
Na 10.4895 3.1020 0.7736
Na 3.5756 3.1020 4.8308
Na 10.2524 1.0340 6.3780
Na 3.3384 1.0340 10.4352
Se 8.3523 1.0340 0.8366
Se 1.4778 3.1020 1.3822
Se 4.8590 1.0340 2.6496
Se 11.7730 1.0340 2.9548
Se 8.3918 3.1020 4.2222
Se 1.4383 1.0340 4.7677
Se 12.3897 3.1020 6.4410
Se 5.4362 1.0340 6.9866
Se 2.0549 3.1020 8.2540
Se 8.9689 3.1020 8.5592
Se 12.3501 1.0340 9.8266
Se 5.4757 3.1020 10.3721
Tm 6.6050 3.1020 1.6952
Tm 13.5190 3.1020 3.9092
Tm 0.3090 1.0340 7.2996
Tm 7.2230 1.0340 9.5136

---

What did the second record say?
24
Lattice="13.8280 0.0000 0.0000 0.0000 4.1360 0.0000 0.0000 0.0000 11.2088" Properties=species:S:1:pos:R:3 comment="NaTmCdSe3, optimized geometry, DFT PBE" de_polymorph_ev_per_fu=0.080 e_tot_ev_per_atom=-4.091 total_magnetization_mub_per_fu=0.005 pbc="T T T"
Cd 13.6222 1.0340 1.1208
Cd 6.7082 1.0340 4.4836
Cd 7.1198 3.1020 6.7252
Cd 0.2058 3.1020 10.0880
Na 10.4895 3.1020 0.7736
Na 3.5756 3.1020 4.8308
Na 10.2524 1.0340 6.3780
Na 3.3384 1.0340 10.4352
Se 8.3523 1.0340 0.8366
Se 1.4778 3.1020 1.3822
Se 4.8590 1.0340 2.6496
Se 11.7730 1.0340 2.9548
Se 8.3918 3.1020 4.2222
Se 1.4383 1.0340 4.7677
Se 12.3897 3.1020 6.4410
Se 5.4362 1.0340 6.9866
Se 2.0549 3.1020 8.2540
Se 8.9689 3.1020 8.5592
Se 12.3501 1.0340 9.8266
Se 5.4757 3.1020 10.3721
Tm 6.6050 3.1020 1.6952
Tm 13.5190 3.1020 3.9092
Tm 0.3090 1.0340 7.2996
Tm 7.2230 1.0340 9.5136